Mg2Pa | PBE-GGA | relaxed

Its density of states at the Fermi level is 2.2286 states/eV per atom. Its uncorrected energy is -3.90 eV per atom. The formation energy from the elements is 325 meV/atom.

Unit cell a=8.3050 b=8.3050 c=8.3050 alpha=90.00 beta=90.00 gamma=90.00
Space group Fd-3m (No. 227, origin choice 2)
One atom of each set of equivalent atoms:
1 Mg 0.0000 0.0000 0.0000 (multiplicity 16)
2 Pa 0.1250 0.1250 0.6250 (multiplicity 8)